[1]
Entry from OQMD via LeMat-Bulk: a geometry-optimized Dy2ThTc structure (PBE).

Cell lengths 6.310, 6.310, 9.436 Å; angles 90.00, 90.00, 143.78 degrees
Fractional positions:
Dy  0.145  0.855  0.572
Dy  0.145  0.855  0.928
Dy  0.855  0.145  0.072
Dy  0.855  0.145  0.428
Th  0.424  0.576  0.750
Th  0.576  0.424  0.250
Tc  0.230  0.770  0.250
Tc  0.770  0.230  0.750

Summary:
* ΔE_f: -119 meV/atom
* total magnetization: 0.005 μB/f.u.

=====

[2]
Entry from OQMD via LeMat-Bulk: a geometry-optimized Co2Re structure (PBE).

Cell lengths 4.603, 4.603, 4.603 Å; angles 60.00, 60.00, 60.00 degrees
Fractional positions:
Co  0.000  0.000  0.000
Co  0.000  0.000  0.500
Co  0.000  0.500  0.000
Co  0.500  0.000  0.000
Re  0.375  0.375  0.375
Re  0.625  0.625  0.625

Summary:
* ΔE_f: 66 meV/atom
* total magnetization: 0.998 μB/f.u.

=====

[3]
Entry from OQMD via LeMat-Bulk: a geometry-optimized Li4AlInPt2 structure (PBE).

Cell lengths 4.343, 4.343, 6.273 Å; angles 90.00, 90.00, 90.00 degrees
Fractional positions:
Li  0.000  0.000  0.000
Li  0.000  0.500  0.734
Li  0.500  0.000  0.266
Li  0.500  0.500  0.500
Al  0.000  0.000  0.500
In  0.500  0.500  0.000
Pt  0.000  0.500  0.275
Pt  0.500  0.000  0.725

Summary:
* VASP energy: -31.37 eV per cell
* total magnetization: 0.003 μB/f.u.

=====

[4]
Entry from OQMD via LeMat-Bulk: a geometry-optimized PrHSO5 structure (PBE).

Cell lengths 4.474, 12.466, 7.013 Å; angles 90.00, 111.27, 90.00 degrees
Fractional positions:
Pr  0.167  0.065  0.303
Pr  0.167  0.435  0.803
Pr  0.833  0.565  0.197
Pr  0.833  0.935  0.697
H  0.203  0.657  0.967
H  0.203  0.843  0.467
H  0.797  0.157  0.533
H  0.797  0.343  0.033
S  0.404  0.145  0.887
S  0.404  0.355  0.387
S  0.596  0.645  0.613
S  0.596  0.855  0.113
O  0.198  0.068  0.950
O  0.198  0.432  0.450
O  0.220  0.244  0.814
O  0.220  0.256  0.314
O  0.231  0.588  0.038
O  0.231  0.912  0.538
O  0.303  0.668  0.438
O  0.303  0.832  0.938
O  0.473  0.095  0.715
O  0.473  0.405  0.215
O  0.527  0.595  0.785
O  0.527  0.905  0.285
O  0.697  0.168  0.062
O  0.697  0.332  0.562
O  0.769  0.088  0.462
O  0.769  0.412  0.962
O  0.780  0.744  0.686
O  0.780  0.756  0.186
O  0.802  0.568  0.550
O  0.802  0.932  0.050

Summary:
* VASP energy: -214.69 eV per cell
* total magnetization: 0.000 μB/f.u.

=====

[5]
Entry from OQMD via LeMat-Bulk: a geometry-optimized CsCuH4 structure (PBE).

Cell lengths 6.335, 6.335, 6.015 Å; angles 101.35, 101.35, 62.36 degrees
Fractional positions:
Cs  0.222  0.222  0.230
Cs  0.778  0.778  0.770
Cu  0.403  0.403  0.871
Cu  0.597  0.597  0.129
H  0.266  0.266  0.723
H  0.272  0.714  0.560
H  0.286  0.728  0.440
H  0.306  0.694  0.000
H  0.694  0.306  0.000
H  0.714  0.272  0.560
H  0.728  0.286  0.440
H  0.734  0.734  0.277

Summary:
* VASP energy: -36.68 eV per cell

=====

[6]
Entry from OQMD via LeMat-Bulk: a geometry-optimized NdGd2AgHg3Au2 structure (PBE).

Cell lengths 3.830, 8.042, 8.042 Å; angles 120.29, 90.00, 90.00 degrees
Fractional positions:
Nd  0.000  0.000  0.000
Gd  0.000  0.191  0.596
Gd  0.000  0.596  0.191
Ag  0.000  0.595  0.595
Hg  0.500  0.330  0.330
Hg  0.500  0.595  0.864
Hg  0.500  0.864  0.595
Au  0.500  0.267  0.929
Au  0.500  0.929  0.267

Summary:
* ΔE_f: -588 meV/atom
* total magnetization: 0.004 μB/f.u.

=====

[7]
Entry from OQMD via LeMat-Bulk: a geometry-optimized Ta2Te5 structure (PBE).

Cell lengths 9.115, 9.115, 7.172 Å; angles 102.56, 102.56, 45.63 degrees
Fractional positions:
Ta  0.088  0.608  0.675
Ta  0.392  0.912  0.825
Ta  0.608  0.088  0.175
Ta  0.912  0.392  0.325
Te  0.018  0.188  0.957
Te  0.188  0.018  0.457
Te  0.202  0.409  0.315
Te  0.407  0.593  0.750
Te  0.409  0.202  0.815
Te  0.591  0.798  0.185
Te  0.593  0.407  0.250
Te  0.798  0.591  0.685
Te  0.812  0.982  0.543
Te  0.982  0.812  0.043

Summary:
* VASP energy: -80.52 eV per cell
* total magnetization: 0.002 μB/f.u.

=====

[8]
Entry from OQMD via LeMat-Bulk: a geometry-optimized AcTmAsO structure (PBE).

Cell lengths 4.514, 4.514, 9.376 Å; angles 90.00, 90.00, 90.00 degrees
Fractional positions:
Ac  0.250  0.250  0.120
Ac  0.750  0.750  0.880
Tm  0.250  0.750  0.500
Tm  0.750  0.250  0.500
As  0.250  0.250  0.681
As  0.750  0.750  0.319
O  0.250  0.750  0.000
O  0.750  0.250  0.000

Summary:
* VASP energy: -52.53 eV per cell
* total magnetization: 0.025 μB/f.u.